# 1
Compound: NiAgSe2
Source: OQMD
Functional: GGA-PBE
Structure: relaxed

Properties
- space group = No. 164
- VASP energy (eV per cell) = -15.9
- total moment (μB/cell) = 0.01

abc: 3.8108 3.8108 5.9485
angles: 90.00 90.00 120.00
Sites, in units of the cell vectors:
Ag  0.0000  0.0000  0.5000
Ni  0.0000  0.0000  0.0000
Se  0.3333  0.6667  0.1974
Se  0.6667  0.3333  0.8026

***

# 2
Compound: ZrGe2Ir
Source: OQMD
Functional: GGA-PBE
Structure: relaxed

Properties
- space group = No. 216
- VASP energy (eV per cell) = -27.6
- total moment (μB/cell) = 0.02

abc: 4.6308 4.6308 4.6308
angles: 60.00 60.00 60.00
Sites, in units of the cell vectors:
Ge  0.0000  0.0000  0.0000
Ge  0.7500  0.7500  0.7500
Ir  0.2500  0.2500  0.2500
Zr  0.5000  0.5000  0.5000

***

# 3
Compound: CsZnAsO
Source: OQMD
Functional: GGA-PBE
Structure: relaxed

Properties
- space group = No. 129
- VASP energy (eV per cell) = -24.2

abc: 3.8121 3.8121 13.3303
angles: 90.00 90.00 90.00
Sites, in units of the cell vectors:
As  0.0000  0.5000  0.3723
As  0.5000  0.0000  0.6277
Cs  0.5000  0.0000  0.1583
Cs  0.0000  0.5000  0.8417
O  0.0000  0.0000  0.0000
O  0.5000  0.5000  0.0000
Zn  0.0000  0.0000  0.5000
Zn  0.5000  0.5000  0.5000